--- 1 ---
PmPrDyAg after structural relaxation, computed with PBE.

Cell: 3.681 3.681 8.830 Å, 90.00 90.00 90.00°
Space group P4mm (No. 99)
Asymmetric unit:
Pm  0.000  0.000  0.000
Pr  0.500  0.500  0.295
Dy  0.000  0.000  0.584
Ag  0.500  0.500  0.778

=====

--- 2 ---
PmPrDyAg after structural relaxation, computed with PBE.

Cell: 7.767 7.767 7.767 Å, 90.00 90.00 90.00°
Space group F-43m (No. 216)
Asymmetric unit:
Pm  0.000  0.000  0.000
Pr  0.250  0.250  0.250
Dy  0.250  0.250  0.750
Ag  0.000  0.000  0.500

=====

1 takes first place; second place is 0.226 eV/atom up.

=====

--- 1 ---
PmDyAgPt after structural relaxation, computed with PBE.

Cell: 4.665 3.838 10.847 Å, 90.00 90.00 90.00°
Space group Amm2 (No. 38)
Asymmetric unit:
Pm  0.000  0.000  0.000
Dy  0.500  0.000  0.277
Ag  0.500  0.000  0.558
Pt  0.000  0.000  0.726

=====

--- 2 ---
PmDyAgPt after structural relaxation, computed with PBE.

Cell: 7.199 7.199 7.199 Å, 90.00 90.00 90.00°
Space group F-43m (No. 216)
Asymmetric unit:
Pm  0.000  0.000  0.000
Dy  0.000  0.000  0.500
Ag  0.250  0.250  0.250
Pt  0.250  0.250  0.750

=====

1 takes first place; second place is 0.014 eV/atom up.